a.
Crystalline BaAl3Te at its relaxed geometry. Source: Alexandria via LeMat-Bulk, functional GGA-PBE.

a = 6.0871 Å, b = 6.0871 Å, c = 6.0871 Å
α = 90.00°, β = 90.00°, γ = 90.00°
Closest atoms and distances in Å follow each position.
Sites, in units of the cell vectors:
Te1 0.5000 0.5000 0.5000  12 Al 4.30
Ba1 0.0000 0.0000 0.0000  6 Al 3.04
Al1 0.0000 0.5000 0.0000  2 Ba 3.04
Al2 0.0000 0.0000 0.5000  2 Ba 3.04
Al3 0.5000 0.0000 0.0000  2 Ba 3.04

b.
Crystalline BaAl3Te at its relaxed geometry. Source: Alexandria via LeMat-Bulk, functional GGA-PBE.

a = 5.5303 Å, b = 5.5303 Å, c = 5.5303 Å
α = 90.00°, β = 90.00°, γ = 90.00°
Closest atoms and distances in Å follow each position.
Sites, in units of the cell vectors:
Te1 0.0000 0.0000 0.0000  6 Al 2.77
Ba1 0.5000 0.5000 0.5000  12 Al 3.91
Al1 0.0000 0.5000 0.0000  2 Te 2.77
Al2 0.0000 0.0000 0.5000  2 Te 2.77
Al3 0.5000 0.0000 0.0000  2 Te 2.77

Among the structures shown above, b is the most stable, with the second-best lying 83.6 kJ/mol of atoms higher.